Here is AlMo2Pb after structural relaxation from the Alexandria database. Energies are from GGA-PBEsol.

Output
Offset from the most stable computed form in eV/atom: 0.278
Volume in A^3/atom: 17.1
Final energy in eV per atom: -7.310

Lattice parameters (Å, degrees): 3.986 3.986 5.144 112.79 112.79 90.00
Atoms (fractional coordinates):
Mo: 0.750 0.250 0.500
Mo: 0.250 0.750 0.500
Pb: 0.500 0.500 0.000
Al: 0.000 0.000 0.000